[1]
Entry from Alexandria: crystalline BaAsSe at its relaxed geometry (PBE).

abc: 5.2130 5.2130 5.2130
angles: 60.00 60.00 60.00
Sites, in units of the cell vectors:
As 0.0000 0.0000 0.0000
Ba 0.5000 0.5000 0.5000
Se 0.7500 0.7500 0.7500

Properties
Space-group type   F-43m
DOS at the Fermi energy   1.24 states/eV/atom
E above lowest polymorph   554 meV/atom
E_form (uncorrected)   -0.533 eV per atom

[2]
Entry from Alexandria: crystalline BaSiAsSe2 at its relaxed geometry (PBE).

abc: 6.0643 6.0643 6.0857
angles: 90.00 90.00 90.00
Sites, in units of the cell vectors:
As 0.0000 0.0000 0.5000
Si 0.5000 0.5000 0.5000
Ba 0.0000 0.0000 0.0000
Se 0.0000 0.5000 0.0000
Se 0.5000 0.0000 0.0000

Properties
Space-group type   P4/mmm
DOS at the Fermi energy   1.30 states/eV/atom
E above lowest polymorph   1563 meV/atom
E_form (uncorrected)   0.994 eV per atom

[3]
Entry from Alexandria: crystalline BaSiAsSe2 at its relaxed geometry (PBE).

abc: 5.1535 5.1535 4.8208
angles: 90.00 90.00 90.00
Sites, in units of the cell vectors:
As 0.0000 0.0000 0.5000
Si 0.0000 0.0000 0.0000
Ba 0.5000 0.5000 0.5000
Se 0.0000 0.5000 0.0000
Se 0.5000 0.0000 0.0000

Properties
Space-group type   P4/mmm
DOS at the Fermi energy   0.58 states/eV/atom
E above lowest polymorph   0 meV/atom
E_form (uncorrected)   -0.569 eV per atom

[4]
Entry from Alexandria: crystalline BaSi2AsSe8 at its relaxed geometry (PBE).

abc: 6.3336 6.3336 9.2575
angles: 90.00 90.00 120.00
Sites, in units of the cell vectors:
Ba 0.0000 0.0000 0.0000
Si 0.6667 0.3333 0.2648
Si 0.3333 0.6667 0.7352
As 0.0000 0.0000 0.5000
Se 0.3333 0.6667 0.9803
Se 0.3094 0.3283 0.3206
Se 0.6717 0.9810 0.3206
Se 0.6667 0.3333 0.0197
Se 0.3283 0.0190 0.6794
Se 0.6906 0.6717 0.6794
Se 0.9810 0.3094 0.6794
Se 0.0190 0.6906 0.3206

Properties
Space-group type   P-3
DOS at the Fermi energy   0.90 states/eV/atom
E_form (uncorrected)   -0.429 eV per atom

[5]
Entry from Alexandria: crystalline BaSnAs2Se at its relaxed geometry (PBE).

abc: 5.3022 5.3022 5.5081
angles: 90.00 90.00 90.00
Sites, in units of the cell vectors:
As 0.0000 0.5000 0.0000
As 0.5000 0.0000 0.0000
Ba 0.5000 0.5000 0.5000
Se 0.0000 0.0000 0.5000
Sn 0.0000 0.0000 0.0000

Properties
Space-group type   P4/mmm
DOS at the Fermi energy   1.03 states/eV/atom
E above lowest polymorph   0 meV/atom
E_form (uncorrected)   -0.259 eV per atom

[6]
Entry from Alexandria: crystalline BaSnAs2Se at its relaxed geometry (PBE).

abc: 5.7140 5.7140 5.9005
angles: 90.00 90.00 90.00
Sites, in units of the cell vectors:
As 0.0000 0.5000 0.0000
As 0.5000 0.0000 0.0000
Ba 0.0000 0.0000 0.0000
Se 0.0000 0.0000 0.5000
Sn 0.5000 0.5000 0.5000

Properties
Space-group type   P4/mmm
DOS at the Fermi energy   0.93 states/eV/atom
E above lowest polymorph   1016 meV/atom
E_form (uncorrected)   0.757 eV per atom

[7]
Entry from Alexandria: crystalline BaSrAsSe2 at its relaxed geometry (PBE).

abc: 5.9282 5.9282 5.6935
angles: 90.00 90.00 90.00
Sites, in units of the cell vectors:
Sr 0.5000 0.5000 0.5000
As 0.0000 0.0000 0.5000
Ba 0.0000 0.0000 0.0000
Se 0.0000 0.5000 0.0000
Se 0.5000 0.0000 0.0000

Properties
Space-group type   P4/mmm
DOS at the Fermi energy   1.29 states/eV/atom
E above lowest polymorph   328 meV/atom
E_form (uncorrected)   -0.344 eV per atom

[8]
Entry from Alexandria: crystalline BaSrAs2Se at its relaxed geometry (PBE).

abc: 5.6198 5.6198 5.7366
angles: 90.00 90.00 90.00
Sites, in units of the cell vectors:
Sr 0.0000 0.0000 0.0000
As 0.0000 0.5000 0.0000
As 0.5000 0.0000 0.0000
Ba 0.5000 0.5000 0.5000
Se 0.0000 0.0000 0.5000

Properties
Space-group type   P4/mmm
DOS at the Fermi energy   1.16 states/eV/atom
E above lowest polymorph   0 meV/atom
E_form (uncorrected)   -0.334 eV per atom

[9]
Entry from Alexandria: crystalline BaSrAs2Se at its relaxed geometry (PBE).

abc: 5.7111 5.7111 5.9587
angles: 90.00 90.00 90.00
Sites, in units of the cell vectors:
Sr 0.5000 0.5000 0.5000
As 0.0000 0.5000 0.0000
As 0.5000 0.0000 0.0000
Ba 0.0000 0.0000 0.0000
Se 0.0000 0.0000 0.5000

Properties
Space-group type   P4/mmm
DOS at the Fermi energy   1.02 states/eV/atom
E above lowest polymorph   314 meV/atom
E_form (uncorrected)   -0.020 eV per atom

[10]
Entry from Alexandria: crystalline BaSrAsSe2 at its relaxed geometry (PBE).

abc: 5.7405 5.7405 5.5733
angles: 90.00 90.00 90.00
Sites, in units of the cell vectors:
Sr 0.0000 0.0000 0.0000
As 0.0000 0.0000 0.5000
Ba 0.5000 0.5000 0.5000
Se 0.0000 0.5000 0.0000
Se 0.5000 0.0000 0.0000

Properties
Space-group type   P4/mmm
DOS at the Fermi energy   1.25 states/eV/atom
E above lowest polymorph   0 meV/atom
E_form (uncorrected)   -0.673 eV per atom

[11]
Entry from Alexandria: crystalline BaTaAs2Se at its relaxed geometry (PBE).

abc: 5.0534 5.0534 5.2467
angles: 90.00 90.00 90.00
Sites, in units of the cell vectors:
As 0.0000 0.5000 0.0000
As 0.5000 0.0000 0.0000
Ba 0.5000 0.5000 0.5000
Se 0.0000 0.0000 0.5000
Ta 0.0000 0.0000 0.0000

Properties
Space-group type   P4/mmm
DOS at the Fermi energy   0.66 states/eV/atom
E above lowest polymorph   0 meV/atom
E_form (uncorrected)   -0.717 eV per atom

[12]
Entry from Alexandria: crystalline BaTaAs2Se at its relaxed geometry (PBE).

abc: 5.4803 5.4803 5.6802
angles: 90.00 90.00 90.00
Sites, in units of the cell vectors:
As 0.0000 0.5000 0.0000
As 0.5000 0.0000 0.0000
Ba 0.0000 0.0000 0.0000
Se 0.0000 0.0000 0.5000
Ta 0.5000 0.5000 0.5000

Properties
Space-group type   P4/mmm
DOS at the Fermi energy   2.00 states/eV/atom
E above lowest polymorph   2576 meV/atom
E_form (uncorrected)   1.860 eV per atom

[13]
Entry from Alexandria: crystalline BaTcAs2Se at its relaxed geometry (PBE).

abc: 4.7512 4.7512 5.8466
angles: 90.00 90.00 90.00
Sites, in units of the cell vectors:
As 0.0000 0.5000 0.0000
As 0.5000 0.0000 0.0000
Ba 0.5000 0.5000 0.5000
Se 0.0000 0.0000 0.5000
Tc 0.0000 0.0000 0.0000

Properties
Space-group type   P4/mmm
DOS at the Fermi energy   0.81 states/eV/atom
E above lowest polymorph   0 meV/atom
E_form (uncorrected)   -0.460 eV per atom

[14]
Entry from Alexandria: crystalline BaTcAs2Se at its relaxed geometry (PBE).

abc: 5.7160 5.7160 5.8711
angles: 90.00 90.00 90.00
Sites, in units of the cell vectors:
As 0.0000 0.5000 0.0000
As 0.5000 0.0000 0.0000
Ba 0.0000 0.0000 0.0000
Se 0.0000 0.0000 0.5000
Tc 0.5000 0.5000 0.5000

Properties
Space-group type   P4/mmm
DOS at the Fermi energy   1.11 states/eV/atom
E above lowest polymorph   2074 meV/atom
E_form (uncorrected)   1.614 eV per atom

[15]
Entry from Alexandria: crystalline BaTeAs2Se at its relaxed geometry (PBE).

abc: 6.3612 6.3612 5.9666
angles: 90.00 90.00 90.00
Sites, in units of the cell vectors:
As 0.0000 0.5000 0.0000
As 0.5000 0.0000 0.0000
Te 0.5000 0.5000 0.5000
Ba 0.0000 0.0000 0.0000
Se 0.0000 0.0000 0.5000

Properties
Space-group type   P4/mmm
DOS at the Fermi energy   1.30 states/eV/atom
E above lowest polymorph   1122 meV/atom
E_form (uncorrected)   0.966 eV per atom

[16]
Entry from Alexandria: crystalline BaTeAs2Se at its relaxed geometry (PBE).

abc: 5.3622 5.3622 5.5436
angles: 90.00 90.00 90.00
Sites, in units of the cell vectors:
As 0.0000 0.5000 0.0000
As 0.5000 0.0000 0.0000
Te 0.0000 0.0000 0.0000
Ba 0.5000 0.5000 0.5000
Se 0.0000 0.0000 0.5000

Properties
Space-group type   P4/mmm
DOS at the Fermi energy   0.70 states/eV/atom
E above lowest polymorph   0 meV/atom
E_form (uncorrected)   -0.156 eV per atom

[17]
Entry from Alexandria: crystalline BaTe2As2Se6 at its relaxed geometry (PBE).

abc: 8.8258 9.0657 7.3555
angles: 140.53 86.64 81.86
Sites, in units of the cell vectors:
Ba 0.5000 0.0000 0.5000
Te 0.8657 0.3116 0.7412
Te 0.1343 0.6884 0.2588
As 0.2981 0.5650 0.4790
As 0.7019 0.4350 0.5210
Se 0.4380 0.5630 0.8026
Se 0.8604 0.6578 0.3536
Se 0.1959 0.9879 0.8119
Se 0.1396 0.3422 0.6464
Se 0.8041 0.0121 0.1881
Se 0.5620 0.4370 0.1974

Properties
Space-group type   P-1
E_form (uncorrected)   -0.378 eV per atom

[18]
Entry from Alexandria: crystalline BaTiAsSe2 at its relaxed geometry (PBE).

abc: 5.1053 5.1053 4.9988
angles: 90.00 90.00 90.00
Sites, in units of the cell vectors:
As 0.0000 0.0000 0.5000
Ba 0.5000 0.5000 0.5000
Se 0.0000 0.5000 0.0000
Se 0.5000 0.0000 0.0000
Ti 0.0000 0.0000 0.0000

Properties
Space-group type   P4/mmm
DOS at the Fermi energy   0.44 states/eV/atom
E above lowest polymorph   0 meV/atom
E_form (uncorrected)   -1.124 eV per atom

[19]
Entry from Alexandria: crystalline BaTiAsSe2 at its relaxed geometry (PBE).

abc: 5.8806 5.8806 5.6630
angles: 90.00 90.00 90.00
Sites, in units of the cell vectors:
As 0.0000 0.0000 0.5000
Ba 0.0000 0.0000 0.0000
Se 0.0000 0.5000 0.0000
Se 0.5000 0.0000 0.0000
Ti 0.5000 0.5000 0.5000

Properties
Space-group type   P4/mmm
DOS at the Fermi energy   1.72 states/eV/atom
E above lowest polymorph   1958 meV/atom
E_form (uncorrected)   0.835 eV per atom

[20]
Entry from Alexandria: crystalline BaTlAsSe2 at its relaxed geometry (PBE).

abc: 5.5703 5.5703 5.2656
angles: 90.00 90.00 90.00
Sites, in units of the cell vectors:
As 0.0000 0.0000 0.5000
Tl 0.0000 0.0000 0.0000
Ba 0.5000 0.5000 0.5000
Se 0.0000 0.5000 0.0000
Se 0.5000 0.0000 0.0000

Properties
Space-group type   P4/mmm
DOS at the Fermi energy   0.93 states/eV/atom
E above lowest polymorph   0 meV/atom
E_form (uncorrected)   -0.314 eV per atom